Entry 1:
# YTm2Hg3

A relaxed structure of YTm2Hg3 (GGA-PBE, Alexandria via LeMat-Bulk). Values from VASP.

Properties
V = 151.1 Å³/f.u.
Space-group type = P4/mmm
Calculated formation energy = -0.49 eV/atom

Cell and atoms, written as Quantum ESPRESSO input:
```
&SYSTEM
  ibrav = 0, nat = 6, ntyp = 3
/
ATOMIC_SPECIES
Y 88.91 Y.upf
Tm 168.93 Tm.upf
Hg 200.59 Hg.upf
CELL_PARAMETERS angstrom
3.697 0.000 0.000
0.000 3.697 0.000
0.000 0.000 11.054
ATOMIC_POSITIONS crystal
Y 0.000 0.000 0.000
Tm 0.000 0.000 0.335
Tm 0.000 0.000 0.665
Hg 0.500 0.500 0.172
Hg 0.500 0.500 0.500
Hg 0.500 0.500 0.828
```


Entry 2:
# YTmHg

A relaxed structure of YTmHg (GGA-PBE, Alexandria via LeMat-Bulk). Values from VASP.

Properties
V = 83.8 Å³/f.u.
Space-group type = P-62m
Calculated formation energy = -0.31 eV/atom

Cell and atoms, written as Quantum ESPRESSO input:
```
&SYSTEM
  ibrav = 0, nat = 9, ntyp = 3
/
ATOMIC_SPECIES
Y 88.91 Y.upf
Tm 168.93 Tm.upf
Hg 200.59 Hg.upf
CELL_PARAMETERS angstrom
7.836 0.000 0.000
-3.918 6.786 0.000
0.000 0.000 4.727
ATOMIC_POSITIONS crystal
Y 0.000 0.595 0.000
Y 0.405 0.405 0.000
Y 0.595 0.000 0.000
Tm 0.000 0.260 0.500
Tm 0.260 0.000 0.500
Tm 0.740 0.740 0.500
Hg 0.000 0.000 0.000
Hg 0.333 0.667 0.500
Hg 0.667 0.333 0.500
```


Entry 3:
# YTm3Hg2

A relaxed structure of YTm3Hg2 (GGA-PBE, Alexandria via LeMat-Bulk). Values from VASP.

Properties
V = 161.6 Å³/f.u.
Space-group type = Pmc2_1
Calculated formation energy = -0.38 eV/atom

Cell and atoms, written as Quantum ESPRESSO input:
```
&SYSTEM
  ibrav = 0, nat = 12, ntyp = 3
/
ATOMIC_SPECIES
Y 88.91 Y.upf
Tm 168.93 Tm.upf
Hg 200.59 Hg.upf
CELL_PARAMETERS angstrom
5.045 0.000 0.000
0.000 9.118 0.000
0.000 0.000 7.026
ATOMIC_POSITIONS crystal
Y 0.000 0.055 0.000
Y 0.000 0.945 0.500
Tm 0.000 0.327 0.652
Tm 0.000 0.673 0.152
Tm 0.500 0.178 0.316
Tm 0.500 0.444 0.967
Tm 0.500 0.556 0.467
Tm 0.500 0.822 0.816
Hg 0.000 0.352 0.223
Hg 0.000 0.648 0.723
Hg 0.500 0.149 0.744
Hg 0.500 0.851 0.244
```


Entry 4:
# Y3Tm2Hg7

A relaxed structure of Y3Tm2Hg7 (GGA-PBE, Alexandria via LeMat-Bulk). Values from VASP.

Properties
V = 318.4 Å³/f.u.
Space-group type = Cmmm
Calculated formation energy = -0.32 eV/atom

Cell and atoms, written as Quantum ESPRESSO input:
```
&SYSTEM
  ibrav = 0, nat = 12, ntyp = 3
/
ATOMIC_SPECIES
Y 88.91 Y.upf
Tm 168.93 Tm.upf
Hg 200.59 Hg.upf
CELL_PARAMETERS angstrom
2.574 -11.372 0.000
2.574 11.372 0.000
0.000 0.000 5.437
ATOMIC_POSITIONS crystal
Y 0.000 0.000 0.000
Y 0.167 0.833 0.000
Y 0.833 0.167 0.000
Tm 0.356 0.644 0.500
Tm 0.644 0.356 0.500
Hg 0.076 0.924 0.500
Hg 0.222 0.778 0.500
Hg 0.414 0.586 0.000
Hg 0.500 0.500 0.500
Hg 0.586 0.414 0.000
Hg 0.778 0.222 0.500
Hg 0.924 0.076 0.500
```


Entry 5:
# YTm4Hg

A relaxed structure of YTm4Hg (GGA-PBE, Alexandria via LeMat-Bulk). Values from VASP.

Properties
V = 176.0 Å³/f.u.
Space-group type = C2/c
Calculated formation energy = -0.04 eV/atom

Cell and atoms, written as Quantum ESPRESSO input:
```
&SYSTEM
  ibrav = 0, nat = 12, ntyp = 3
/
ATOMIC_SPECIES
Y 88.91 Y.upf
Tm 168.93 Tm.upf
Hg 200.59 Hg.upf
CELL_PARAMETERS angstrom
4.294 -6.887 0.000
4.294 6.887 0.000
-2.001 0.000 5.952
ATOMIC_POSITIONS crystal
Y 0.092 0.908 0.750
Y 0.908 0.092 0.250
Tm 0.095 0.341 0.877
Tm 0.213 0.590 0.458
Tm 0.341 0.095 0.377
Tm 0.410 0.787 0.042
Tm 0.590 0.213 0.958
Tm 0.659 0.905 0.623
Tm 0.787 0.410 0.542
Tm 0.905 0.659 0.123
Hg 0.500 0.500 0.250
Hg 0.500 0.500 0.750
```


Entry 6:
# YTm5Hg3

A relaxed structure of YTm5Hg3 (GGA-PBE, Alexandria via LeMat-Bulk). Values from VASP.

Properties
V = 238.6 Å³/f.u.
Space-group type = P6_3/mcm
Calculated formation energy = -0.32 eV/atom

Cell and atoms, written as Quantum ESPRESSO input:
```
&SYSTEM
  ibrav = 0, nat = 18, ntyp = 3
/
ATOMIC_SPECIES
Y 88.91 Y.upf
Tm 168.93 Tm.upf
Hg 200.59 Hg.upf
CELL_PARAMETERS angstrom
8.970 0.000 0.000
-4.485 7.769 0.000
0.000 0.000 6.848
ATOMIC_POSITIONS crystal
Y 0.000 0.000 0.000
Y 0.000 0.000 0.500
Tm 0.000 0.335 0.250
Tm 0.000 0.665 0.750
Tm 0.333 0.667 0.000
Tm 0.333 0.667 0.500
Tm 0.335 0.000 0.250
Tm 0.335 0.335 0.750
Tm 0.665 0.000 0.750
Tm 0.665 0.665 0.250
Tm 0.667 0.333 0.000
Tm 0.667 0.333 0.500
Hg 0.000 0.332 0.750
Hg 0.000 0.668 0.250
Hg 0.332 0.000 0.750
Hg 0.332 0.332 0.250
Hg 0.668 0.000 0.250
Hg 0.668 0.668 0.750
```


Entry 7:
# YTm3Hg2

A relaxed structure of YTm3Hg2 (GGA-PBE, Alexandria via LeMat-Bulk). Values from VASP.

Properties
V = 163.3 Å³/f.u.
Space-group type = P4/mmm
Calculated formation energy = -0.31 eV/atom

Cell and atoms, written as Quantum ESPRESSO input:
```
&SYSTEM
  ibrav = 0, nat = 6, ntyp = 3
/
ATOMIC_SPECIES
Y 88.91 Y.upf
Tm 168.93 Tm.upf
Hg 200.59 Hg.upf
CELL_PARAMETERS angstrom
3.654 0.000 0.000
0.000 3.654 0.000
0.000 0.000 12.232
ATOMIC_POSITIONS crystal
Y 0.000 0.000 0.000
Tm 0.500 0.500 0.199
Tm 0.500 0.500 0.500
Tm 0.500 0.500 0.801
Hg 0.000 0.000 0.348
Hg 0.000 0.000 0.652
```


Entry 8:
# YTmHg5

A relaxed structure of YTmHg5 (GGA-PBE, Alexandria via LeMat-Bulk). Values from VASP.

Properties
V = 181.8 Å³/f.u.
Space-group type = Cmmm
Calculated formation energy = -0.24 eV/atom

Cell and atoms, written as Quantum ESPRESSO input:
```
&SYSTEM
  ibrav = 0, nat = 7, ntyp = 3
/
ATOMIC_SPECIES
Y 88.91 Y.upf
Tm 168.93 Tm.upf
Hg 200.59 Hg.upf
CELL_PARAMETERS angstrom
3.332 -3.890 0.000
3.332 3.890 0.000
0.000 0.000 7.014
ATOMIC_POSITIONS crystal
Y 0.000 0.000 0.000
Tm 0.500 0.500 0.500
Hg 0.000 0.000 0.500
Hg 0.000 0.500 0.235
Hg 0.000 0.500 0.765
Hg 0.500 0.000 0.235
Hg 0.500 0.000 0.765
```